## HoCoC2 (meta-GGA SCAN)

Data for HoCoC2 at its PBEsol-relaxed geometry.

Formation energy from the elements, meV per atom: -379

Lattice parameters (Å, degrees): 3.4919 4.4628 5.8899 90.00 90.00 90.00
Space group Amm2 (No. 38)
Unique sites:
Ho (0.0000, 0.0000, 0.0000) x2
Co (0.5000, 0.0000, 0.3840) x2
C (0.5000, 0.1549, 0.6947) x4